A relaxed structure of MgPd6Au3. Source: Alexandria via LeMat-Bulk, functional PBE.

extended XYZ file:
```
20
Lattice="4.386 -7.659 0.000 4.386 7.659 0.000 0.000 0.000 4.984" Properties=species:S:1:pos:R:3 pbc="T T T"
Mg 4.386 4.315 2.492
Mg 4.386 -4.315 0.000
Pd 2.120 3.257 3.509
Pd 4.386 6.756 1.454
Pd 2.937 0.782 4.344
Pd 4.386 3.136 4.902
Pd 2.937 -0.782 1.852
Pd 2.120 -3.257 1.017
Pd 6.653 3.257 3.509
Pd 5.835 0.782 4.344
Pd 4.386 -3.136 2.410
Pd 5.835 -0.782 1.852
Pd 4.386 -6.756 3.946
Pd 6.653 -3.257 1.017
Au 1.430 1.563 1.522
Au 1.430 -1.563 4.015
Au 4.386 1.584 2.112
Au 4.386 -1.584 4.604
Au 7.343 1.563 1.522
Au 7.343 -1.563 4.015
```

Calculated values
polymorph energy (0 for the lowest one) = 126 meV per atom
formation energy = -0.100 eV/atom

=====

A relaxed structure of Mg6Pd2Au. Source: Alexandria via LeMat-Bulk, functional PBE.

extended XYZ file:
```
9
Lattice="4.665 0.000 0.000 -2.333 4.040 0.000 0.000 0.000 8.765" Properties=species:S:1:pos:R:3 pbc="T T T"
Mg 0.000 0.000 1.711
Mg 0.000 0.000 7.053
Mg 0.000 2.693 0.551
Mg 0.000 2.693 3.572
Mg 2.333 1.347 5.193
Mg 2.333 1.347 8.213
Pd 0.000 2.693 6.589
Pd 2.333 1.347 2.176
Au 0.000 0.000 4.382
```

Calculated values
polymorph energy (0 for the lowest one) = 10 meV per atom
formation energy = -0.480 eV/atom

=====

A relaxed structure of Mg4PdAu3. Source: Alexandria via LeMat-Bulk, functional PBE.

extended XYZ file:
```
8
Lattice="2.313 1.335 7.551 -2.313 1.335 7.551 0.000 -2.670 7.551" Properties=species:S:1:pos:R:3 pbc="T T T"
Mg 0.000 0.000 2.804
Mg 0.000 0.000 8.475
Mg 0.000 0.000 14.178
Mg 0.000 0.000 19.849
Pd 0.000 0.000 0.000
Au 0.000 0.000 5.715
Au 0.000 0.000 11.327
Au 0.000 0.000 16.938
```

Calculated values
formation energy = -0.637 eV/atom

=====

A relaxed structure of MgPd2Au3. Source: Alexandria via LeMat-Bulk, functional PBE.

extended XYZ file:
```
12
Lattice="9.485 -1.437 0.000 9.485 1.437 0.000 -2.734 0.000 7.670" Properties=species:S:1:pos:R:3 pbc="T T T"
Mg 3.138 0.000 0.355
Mg 13.097 0.000 7.314
Pd 2.648 0.000 2.889
Pd 5.833 0.000 6.614
Pd 10.403 0.000 1.055
Pd 13.587 0.000 4.780
Au -0.029 0.000 3.404
Au 1.794 0.000 5.656
Au 7.567 0.000 1.672
Au 8.669 0.000 5.998
Au 14.441 0.000 2.014
Au 16.264 0.000 4.265
```

Calculated values
polymorph energy (0 for the lowest one) = 129 meV per atom
formation energy = -0.208 eV/atom

=====

A relaxed structure of Mg3PdAu4. Source: Alexandria via LeMat-Bulk, functional PBE.

extended XYZ file:
```
16
Lattice="9.480 0.000 0.000 0.000 6.145 0.000 0.000 0.000 4.809" Properties=species:S:1:pos:R:3 pbc="T T T"
Mg 0.000 0.000 0.000
Mg 2.370 0.000 2.047
Mg 2.370 3.073 1.937
Mg 4.740 0.000 0.000
Mg 7.110 0.000 2.763
Mg 7.110 3.073 2.872
Pd 0.000 3.073 0.000
Pd 4.740 3.073 0.000
Au 0.000 1.526 2.405
Au 0.000 4.619 2.405
Au 2.370 1.528 4.397
Au 2.370 4.617 4.397
Au 4.740 1.526 2.405
Au 4.740 4.619 2.405
Au 7.110 1.528 0.412
Au 7.110 4.617 0.412
```

Calculated values
formation energy = -0.519 eV/atom

=====

A relaxed structure of Mg4PdAu5. Source: Alexandria via LeMat-Bulk, functional PBE.

extended XYZ file:
```
10
Lattice="7.454 -2.212 0.000 7.454 2.212 0.000 -1.981 0.000 5.325" Properties=species:S:1:pos:R:3 pbc="T T T"
Mg 0.724 0.000 1.761
Mg 2.748 0.000 4.758
Mg 10.178 0.000 0.568
Mg 12.203 0.000 3.564
Pd 7.454 0.000 0.000
Au -0.102 0.000 4.519
Au 3.601 0.000 2.063
Au 6.463 0.000 2.663
Au 9.325 0.000 3.262
Au 13.029 0.000 0.806
```

Calculated values
polymorph energy (0 for the lowest one) = 0 meV per atom
formation energy = -0.553 eV/atom